Density functional theory data (PBE) for a relaxed structure of ZrCuRe3.

Structure (CIF):
```
data_ZrCuRe3
_chemical_formula_sum 'Zr1 Cu1 Re3'
_space_group_name_H-M_alt 'P m -3 m'
_space_group_IT_number 221
_space_group_name_Hall '-P 4 2 3'
_cell_length_a 4.7762
_cell_length_b 4.7762
_cell_length_c 4.7762
_cell_angle_alpha 90.00
_cell_angle_beta 90.00
_cell_angle_gamma 90.00
loop_
_atom_site_label
_atom_site_fract_x
_atom_site_fract_y
_atom_site_fract_z
_atom_site_occupancy
Zr1 0.0000 0.0000 0.0000 1
Cu1 0.5000 0.5000 0.5000 1
Re1 0.0000 0.0000 0.5000 1
```

Output
density of states at the Fermi level: 7.188 states/eV/cell
formation energy: 2.808 eV/atom
size of the total moment: 0.5 μB per formula unit
offset from the most stable computed form: 31.47 kcal/mol of atoms

---

Density functional theory data (PBE) for a relaxed structure of Zr3Cu2Re.

Structure (CIF):
```
data_Zr3Cu2Re
_chemical_formula_sum 'Zr3 Cu2 Re1'
_space_group_name_H-M_alt 'P 4/m m m'
_space_group_IT_number 123
_space_group_name_Hall '-P 4 2'
_cell_length_a 3.3108
_cell_length_b 3.3108
_cell_length_c 9.8187
_cell_angle_alpha 90.00
_cell_angle_beta 90.00
_cell_angle_gamma 90.00
loop_
_atom_site_label
_atom_site_fract_x
_atom_site_fract_y
_atom_site_fract_z
_atom_site_occupancy
Zr1 0.0000 0.0000 0.0000 1
Zr2 0.0000 0.0000 0.3372 1
Cu1 0.5000 0.5000 0.1678 1
Re1 0.5000 0.5000 0.5000 1
```

Output
density of states at the Fermi level: 5.754 states/eV/cell
formation energy: -0.183 eV/atom
size of the total moment: 0.5 μB per formula unit
offset from the most stable computed form: 0.26 kcal/mol of atoms